[1]
The following is a PBE calculation of crystalline Ce8Zn2Os3 at its relaxed geometry, from Alexandria.

```
Ce8Zn2Os3
1.0
6.995 -3.378 0.000
6.995 3.378 0.000
-2.850 0.000 7.246
Ce Zn Os
8 2 3
direct
0.113 0.664 0.611 Ce
0.123 0.123 0.989 Ce
0.336 0.887 0.389 Ce
0.357 0.357 0.154 Ce
0.643 0.643 0.846 Ce
0.664 0.113 0.611 Ce
0.877 0.877 0.011 Ce
0.887 0.336 0.389 Ce
0.253 0.253 0.744 Zn
0.747 0.747 0.256 Zn
0.301 0.699 0.000 Os
0.500 0.500 0.500 Os
0.699 0.301 0.000 Os
```

=====

[2]
Ce3ZnOs PBE optimized geometry; relative energy among the computed polymorphs = 42.8 meV per atom
1.0
5.371 0.000 0.000
-2.153 5.558 0.000
-0.443 -3.077 8.195
Ce Zn Os
6 2 2
direct
0.120 0.273 0.290 Ce
0.148 0.290 0.627 Ce
0.347 0.751 0.066 Ce
0.653 0.249 0.934 Ce
0.852 0.710 0.373 Ce
0.880 0.727 0.710 Ce
0.415 0.837 0.570 Zn
0.585 0.163 0.430 Zn
0.138 0.202 0.940 Os
0.862 0.798 0.060 Os

=====

Going through the records in order, we get ΔE_f values of 0.016, -0.154 eV/atom.
Going through the records in order, we get energy values of -6.423, -6.215 eV per atom.
Going through the records in order, we get Fermi-level density of states values of 30.79, 19.86 states/eV per cell.